w | Crystalline RbTiTe4 at its relaxed geometry. Source: Alexandria, functional PBE.

SG: C2/c, No. 15
Calculated volume: 431 Å³/cell

Cell and atoms, written as POSCAR:
```
RbTiTe4
1.0
4.3739 -8.0168 0.0000
4.3739 8.0168 0.0000
-2.5060 0.0000 6.1409
Rb Ti Te
2 2 8
Direct
0.1434 0.8566 0.7500
0.8566 0.1434 0.2500
0.4998 0.5002 0.2500
0.5002 0.4998 0.7500
0.1548 0.3020 0.8634
0.2998 0.5772 0.4694
0.3020 0.1548 0.3634
0.4228 0.7002 0.0306
0.5772 0.2998 0.9694
0.6980 0.8452 0.6366
0.7002 0.4228 0.5306
0.8452 0.6980 0.1366
```

***

x | Crystalline RbTiTe4 at its relaxed geometry. Source: Alexandria, functional PBE.

SG: C2/m, No. 12
Calculated volume: 456 Å³/cell

Cell and atoms, written as POSCAR:
```
RbTiTe4
1.0
7.8690 -4.6823 0.0000
7.8690 4.6823 0.0000
-0.2338 0.0000 6.1867
Rb Ti Te
2 2 8
Direct
0.1681 0.1681 0.2224
0.8319 0.8319 0.7776
0.4882 0.4882 0.7278
0.5118 0.5118 0.2722
0.1991 0.5746 0.4005
0.2575 0.7425 0.0000
0.3113 0.3113 0.7285
0.4254 0.8009 0.5995
0.5746 0.1991 0.4005
0.6887 0.6887 0.2715
0.7425 0.2575 0.0000
0.8009 0.4254 0.5995
```

***

The structure with the least stability is w.